No. 1
DFT (PBE-GGA) results for a geometry-optimized RbPrTl structure.

Cell and atoms, written as POSCAR:
```
RbPrTl
1.0
4.1023 -0.0108 -0.4149
-0.0308 4.1022 -0.4149
-2.4524 -2.4644 15.7858
Rb Tl Pr
2 2 2
Direct
0.5938 0.5938 0.3534
0.4062 0.4062 0.6466
0.0697 0.0697 0.8148
0.9303 0.9303 0.1852
0.6757 0.6757 0.9238
0.3243 0.3243 0.0762
```

Computed properties:
The raw total energy is -2.81 eV per atom. Its crystal system is monoclinic. The density of states at the Fermi level comes out at 1.0490 states/eV/atom.


No. 2
DFT (PBE-GGA) results for a geometry-optimized RbPrTl2 structure.

Cell and atoms, written as POSCAR:
```
RbPrTl2
1.0
4.0279 0.0000 0.0000
0.0000 4.0279 0.0000
0.0000 0.0000 9.0074
Rb Tl Pr
1 2 1
Direct
0.5000 0.5000 0.5000
0.0000 0.0000 0.7992
0.0000 0.0000 0.2008
0.5000 0.5000 0.0000
```

Computed properties:
As for the energy above the most stable polymorph in this dataset: 0.0000 eV/atom. The raw total energy is -2.82 eV per atom. Its crystal system is tetragonal. The density of states at the Fermi level comes out at 0.7991 states/eV/atom.


No. 3
DFT (PBE-GGA) results for a geometry-optimized RbPr2Y structure.

Cell and atoms, written as POSCAR:
```
RbPr2Y
1.0
-1.5835 -1.2264 3.1382
-1.0272 -3.5661 0.2964
11.4126 -4.7218 6.1216
Pr Rb Y
2 1 1
Direct
0.0961 0.0961 0.7116
0.9039 0.9039 0.2884
0.0000 0.0000 0.0000
0.5000 0.5000 0.5000
```

Computed properties:
The raw total energy is -4.02 eV per atom. Its crystal system is trigonal. The density of states at the Fermi level comes out at 1.0904 states/eV/atom.


Q: raw total energy of number 1 (RbPrTl)?
A: -2.81 eV per atom